FeRhNO2: PBEsol geometry, meta-GGA SCAN.

abc: 3.9283 3.9283 3.6108
angles: 90.00 90.00 90.00
Closest atoms and distances in Å follow each position.
Fractional coordinates of all 5 atoms:
Fe 0.0000 0.0000 0.0000  8 O 2.67, 4 N 2.78
Rh 0.5000 0.5000 0.5000  2 N 1.81, 4 O 1.96
N 0.5000 0.5000 0.0000  2 Rh 1.81
O 0.0000 0.5000 0.5000  2 Rh 1.96
O 0.5000 0.0000 0.5000  2 Rh 1.96

Energy relative to the elements, uncorrected ... 0.2205 eV per atom
M_tot ... 4.12 Bohr magnetons per cell
Uncorrected energy ... -14.510 eV/atom